Arrangement one

VASP calculation (PBE) on crystalline Eu2PtSe at its relaxed geometry.

Lattice parameters (Å, degrees): 4.252 4.252 7.527 73.59 73.59 60.00
Site moments in Bohr magnetons follow the coordinates.
Atoms (fractional coordinates):
Eu 0.252 0.252 0.243  6.79
Eu 0.748 0.748 0.757  6.79
Se 0.500 0.500 0.500  -0.06
Pt 0.000 0.000 0.000  -0.08

Values from the calculation:
density = 8.6 g cm⁻³

Arrangement two

VASP calculation (PBE) on crystalline Eu2PtSe at its relaxed geometry.

Lattice parameters (Å, degrees): 3.656 3.656 7.341 90.00 90.00 90.00
Site moments in Bohr magnetons follow the coordinates.
Atoms (fractional coordinates):
Eu 0.000 0.000 0.754  6.80
Eu 0.000 0.000 0.246  6.80
Se 0.500 0.500 0.500  -0.08
Pt 0.500 0.500 0.000  -0.10

Values from the calculation:
density = 9.8 g cm⁻³

Going by the computed energies, the most stable comes first: arrangement one, arrangement two.